A | TbNdSm PBE-GGA relaxed; N(E_F) = 3.81 states/eV/cell; symmetry = P3m1 (156); magnetic moment = 0.0 μB/f.u.
1.0
3.622 0.000 0.000
-1.811 3.137 0.000
0.000 0.000 8.867
Tb Nd Sm
1 1 1
direct
0.000 0.000 0.000
0.667 0.333 0.333
0.333 0.667 0.672

B | TbNdSm PBE-GGA relaxed; N(E_F) = 9.65 states/eV/cell; symmetry = Cmmm (65); magnetic moment = 0.0 μB/f.u.
1.0
5.834 -5.861 0.000
5.834 5.861 0.000
0.000 0.000 3.484
Tb Nd Sm
2 2 2
direct
0.000 0.000 0.000
0.500 0.500 0.500
0.239 0.761 0.500
0.761 0.239 0.500
0.262 0.262 0.000
0.738 0.738 0.000

Quick look at relative energies in meV/atom: A 0; B 612.